Entry 1:
Material: NaNdFeSe3
Method: DFT, PBE
State: relaxed

a b c (Å): 8.293 4.217 16.475
angles (deg): 90.00 90.00 90.00
Atoms (fractional coordinates):
1 Na 0.077 0.250 0.218
2 Na 0.423 0.750 0.718
3 Na 0.577 0.250 0.282
4 Na 0.923 0.750 0.782
5 Nd 0.250 0.250 0.953
6 Nd 0.250 0.750 0.453
7 Nd 0.750 0.250 0.547
8 Nd 0.750 0.750 0.047
9 Fe 0.125 0.250 0.639
10 Fe 0.375 0.750 0.139
11 Fe 0.625 0.250 0.861
12 Fe 0.875 0.750 0.361
13 Se 0.004 0.250 0.406
14 Se 0.124 0.750 0.063
15 Se 0.188 0.250 0.779
16 Se 0.312 0.750 0.279
17 Se 0.376 0.250 0.563
18 Se 0.496 0.750 0.906
19 Se 0.504 0.250 0.094
20 Se 0.624 0.750 0.437
21 Se 0.688 0.250 0.721
22 Se 0.812 0.750 0.221
23 Se 0.876 0.250 0.937
24 Se 0.996 0.750 0.594

spin magnetization = 15.999 Bohr magnetons per cell
energy above the lowest structure with this stoichiometry = 0.0477 eV per atom
total DFT energy (no corrections) = -5.21 eV/atom


Entry 2:
Material: GdNbIr
Method: DFT, PBE
State: relaxed

a b c (Å): 4.603 4.603 4.603
angles (deg): 60.00 60.00 60.00
Atoms (fractional coordinates):
1 Gd 0.000 0.000 0.000
2 Nb 0.500 0.500 0.500
3 Ir 0.250 0.250 0.250

spin magnetization = 0.057 Bohr magnetons per cell
energy above the lowest structure with this stoichiometry = 0.0000 eV per atom
total DFT energy (no corrections) = -7.98 eV/atom


Entry 3:
Material: ScSiNiW
Method: DFT, PBE
State: relaxed

a b c (Å): 4.405 4.405 4.405
angles (deg): 60.00 60.00 60.00
Atoms (fractional coordinates):
1 Sc 0.000 0.000 0.000
2 Si 0.250 0.250 0.250
3 Ni 0.500 0.500 0.500
4 W 0.750 0.750 0.750

spin magnetization = 2.147 Bohr magnetons per cell
total DFT energy (no corrections) = -7.20 eV/atom


Entry 4:
Material: MgTaAlCu
Method: DFT, PBE
State: relaxed

a b c (Å): 4.492 4.492 4.492
angles (deg): 60.00 60.00 60.00
Atoms (fractional coordinates):
1 Mg 0.000 0.000 0.000
2 Ta 0.750 0.750 0.750
3 Al 0.250 0.250 0.250
4 Cu 0.500 0.500 0.500

spin magnetization = 0.893 Bohr magnetons per cell
energy above the lowest structure with this stoichiometry = 0.0765 eV per atom
total DFT energy (no corrections) = -4.84 eV/atom


Entry 5:
Material: BeB4Pt
Method: DFT, PBE
State: relaxed

a b c (Å): 2.972 2.972 6.549
angles (deg): 90.00 90.00 120.00
Atoms (fractional coordinates):
1 Be 0.000 0.000 0.000
2 B 0.333 0.667 0.208
3 B 0.333 0.667 0.792
4 B 0.667 0.333 0.208
5 B 0.667 0.333 0.792
6 Pt 0.000 0.000 0.500

spin magnetization = 0.003 Bohr magnetons per cell
energy above the lowest structure with this stoichiometry = 0.0000 eV per atom
total DFT energy (no corrections) = -5.84 eV/atom


Entry 6:
Material: SrFeS3
Method: DFT, PBE
State: relaxed

a b c (Å): 7.047 7.047 7.047
angles (deg): 73.11 130.18 130.18
Atoms (fractional coordinates):
1 Sr 0.000 0.000 0.000
2 Sr 0.000 0.500 0.500
3 Fe 0.505 0.255 0.750
4 Fe 0.505 0.755 0.250
5 S 0.005 0.620 0.885
6 S 0.005 0.890 0.615
7 S 0.274 0.390 0.385
8 S 0.500 0.000 0.500
9 S 0.500 0.500 0.000
10 S 0.736 0.120 0.115

spin magnetization = 6.193 Bohr magnetons per cell
energy above the lowest structure with this stoichiometry = 0.0003 eV per atom
total DFT energy (no corrections) = -5.38 eV/atom


Entry 7:
Material: BaScCdAu
Method: DFT, PBE
State: relaxed

a b c (Å): 5.194 5.194 5.194
angles (deg): 60.00 60.00 60.00
Atoms (fractional coordinates):
1 Ba 0.000 0.000 0.000
2 Sc 0.750 0.750 0.750
3 Cd 0.250 0.250 0.250
4 Au 0.500 0.500 0.500

spin magnetization = 0.000 Bohr magnetons per cell
energy above the lowest structure with this stoichiometry = 0.1233 eV per atom
total DFT energy (no corrections) = -3.22 eV/atom


Entry 8:
Material: CsCo3Sb5
Method: DFT, PBE
State: relaxed

a b c (Å): 5.389 5.389 9.397
angles (deg): 90.00 90.00 120.00
Atoms (fractional coordinates):
1 Cs 0.000 0.000 0.000
2 Co 0.000 0.500 0.500
3 Co 0.500 0.000 0.500
4 Co 0.500 0.500 0.500
5 Sb 0.000 0.000 0.500
6 Sb 0.333 0.667 0.278
7 Sb 0.333 0.667 0.722
8 Sb 0.667 0.333 0.278
9 Sb 0.667 0.333 0.722

spin magnetization = 1.822 Bohr magnetons per cell
total DFT energy (no corrections) = -4.91 eV/atom